Entry 1:
First-principles (PBE) data for a relaxed Nd2Sm4Mg crystal, as listed in Alexandria via LeMat-Bulk.

Cell lengths 6.0955, 6.6819, 11.7355 Å; angles 90.00, 105.11, 90.00 degrees
With the nearest neighbours (Å) after each atom.
Atoms (fractional coordinates):
Nd1 0.0955 0.2500 0.0060  4 Sm 3.30-3.61, 1 Mg 3.40, 2 Nd 3.53
Nd2 0.2187 0.2500 0.5733  9 Sm 3.37-3.70
Nd3 0.7813 0.7500 0.4267  9 Sm 3.37-3.70
Nd4 0.9045 0.7500 0.9940  4 Sm 3.30-3.61, 1 Mg 3.40, 2 Nd 3.53
Sm1 0.1426 0.0001 0.2845  5 Sm 3.34-3.57, 1 Mg 3.41, 4 Nd 3.51-3.73
Sm2 0.1426 0.4999 0.2845  5 Sm 3.34-3.57, 1 Mg 3.41, 4 Nd 3.51-3.73
Sm3 0.3523 0.7500 0.5583  1 Mg 3.22, 4 Nd 3.37-3.45, 4 Sm 3.55-3.56
Sm4 0.4838 0.7500 0.1233  3 Mg 3.29-3.49, 3 Nd 3.30-3.55, 2 Sm 3.57
Sm5 0.5162 0.2500 0.8767  3 Mg 3.29-3.49, 3 Nd 3.30-3.55, 2 Sm 3.57
Sm6 0.6477 0.2500 0.4417  1 Mg 3.22, 4 Nd 3.37-3.45, 4 Sm 3.55-3.56
Sm7 0.8574 0.9999 0.7155  5 Sm 3.34-3.57, 1 Mg 3.41, 4 Nd 3.51-3.73
Sm8 0.8574 0.5001 0.7155  5 Sm 3.34-3.57, 1 Mg 3.41, 4 Nd 3.51-3.73
Mg1 0.3523 0.7500 0.8327  6 Sm 3.22-3.49, 1 Nd 3.40
Mg2 0.6477 0.2500 0.1673  6 Sm 3.22-3.49, 1 Nd 3.40

Output
Excess energy over the best structure of this formula in the dataset (meV per atom): 0
Total DFT energy (no corrections) (eV/atom): -4.20
DOS at the Fermi energy (states/eV/f.u.): 9.1
Formation energy (kJ per mole of atoms): 8
Calculated volume (A^3/atom): 33.0
Space group: P2_1/m


Entry 2:
First-principles (PBE) data for a relaxed ZnSiHg2 crystal, as listed in Alexandria via LeMat-Bulk.

Cell lengths 6.7172, 6.7172, 4.3685 Å; angles 108.76, 108.76, 27.17 degrees
With the nearest neighbours (Å) after each atom.
Atoms (fractional coordinates):
Zn1 0.0000 0.0000 0.0000  2 Si 2.60, 4 Hg 2.81-2.82
Si1 0.3325 0.3325 0.8362  2 Zn 2.60, 4 Hg 2.84-2.85
Hg1 0.5666 0.5666 0.5671  4 Zn 2.81-2.82
Hg2 0.7590 0.7590 0.2626  4 Si 2.84-2.85, 2 Hg 3.16

Output
Excess energy over the best structure of this formula in the dataset (meV per atom): 67
Total DFT energy (no corrections) (eV/atom): -1.52
DOS at the Fermi energy (states/eV/f.u.): 1.3
Calculated volume (A^3/atom): 21.2
Space group: Cm
ΔE_f (raw) (eV/atom): 0.305


Entry 3:
First-principles (PBE) data for a relaxed Zn crystal, as listed in Alexandria via LeMat-Bulk.

Cell lengths 3.4922, 2.9701, 2.6031 Å; angles 77.29, 56.06, 46.65 degrees
With the nearest neighbours (Å) after each atom.
Atoms (fractional coordinates):
Zn1 0.0000 0.0000 0.0000  6 Zn 2.60-2.61

Output
Excess energy over the best structure of this formula in the dataset (meV per atom): 42
Total DFT energy (no corrections) (eV/atom): -1.23
DOS at the Fermi energy (states/eV/f.u.): 0.3
Formation energy (kJ per mole of atoms): 4
Calculated volume (A^3/atom): 15.7
Space group: Fmmm


Entry 4:
First-principles (PBE) data for a relaxed Be2SbPt crystal, as listed in Alexandria via LeMat-Bulk.

Cell lengths 6.8522, 6.8522, 6.8522 Å; angles 32.33, 32.33, 32.33 degrees
With the nearest neighbours (Å) after each atom.
Atoms (fractional coordinates):
Be1 0.0000 0.0000 0.0000  3 Be 2.22, 3 Pt 2.34
Be2 0.3197 0.3197 0.3197  3 Be 2.22, 3 Pt 2.27
Sb1 0.8661 0.8661 0.8661  1 Be 2.61, 3 Pt 2.85
Pt1 0.6254 0.6254 0.6254  6 Be 2.27-2.34

Output
Total DFT energy (no corrections) (eV/atom): -4.54
DOS at the Fermi energy (states/eV/f.u.): 2.4
Calculated volume (A^3/atom): 20.4
Space group: R3m
ΔE_f (raw) (eV/atom): -0.133


Entry 5:
First-principles (PBE) data for a relaxed YMnPbSe4 crystal, as listed in Alexandria via LeMat-Bulk.

Cell lengths 7.1122, 6.0877, 8.7010 Å; angles 90.00, 107.80, 90.00 degrees
With the nearest neighbours (Å) after each atom.
Atoms (fractional coordinates):
Y1 0.2476 0.2500 0.4398  8 Se 2.96-3.29
Y2 0.7524 0.7500 0.5602  8 Se 2.96-3.29
Mn1 0.2561 0.7500 0.6793  4 Se 2.40-2.46
Mn2 0.7439 0.2500 0.3207  4 Se 2.40-2.46
Pb1 0.2198 0.2500 0.9446  6 Se 2.94-3.29
Pb2 0.7802 0.7500 0.0554  6 Se 2.94-3.29
Se1 0.0619 0.7500 0.3971  1 Mn 2.42
Se2 0.0684 0.7500 0.8743  1 Mn 2.46
Se3 0.4793 0.5113 0.2721  1 Mn 2.40
Se4 0.4793 0.9887 0.2721  1 Mn 2.40
Se5 0.5207 0.0113 0.7279  1 Mn 2.40
Se6 0.5207 0.4887 0.7279  1 Mn 2.40
Se7 0.9316 0.2500 0.1257  1 Mn 2.46
Se8 0.9381 0.2500 0.6029  1 Mn 2.42

Output
Total DFT energy (no corrections) (eV/atom): -5.64
DOS at the Fermi energy (states/eV/f.u.): 1.9
Calculated volume (A^3/atom): 25.6
Space group: P2_1/m
ΔE_f (raw) (eV/atom): -0.882


Entry 6:
First-principles (PBE) data for a relaxed NaNpSe crystal, as listed in Alexandria via LeMat-Bulk.

Cell lengths 12.1161, 12.1161, 12.1161 Å; angles 163.59, 163.59, 23.29 degrees
With the nearest neighbours (Å) after each atom.
Atoms (fractional coordinates):
Na1 0.0739 0.0739 0.0000  4 Se 3.06
Na2 0.9261 0.9261 0.0000  4 Se 3.06
Np1 0.2292 0.2292 0.0000  4 Np 2.64, 1 Se 2.83
Np2 0.7708 0.7708 0.0000  4 Np 2.64, 1 Se 2.83
Se1 0.3486 0.3486 0.0000  5 Np 2.83-3.06, 4 Na 3.06
Se2 0.6514 0.6514 0.0000  5 Np 2.83-3.06, 4 Na 3.06

Output
Total DFT energy (no corrections) (eV/atom): -6.41
DOS at the Fermi energy (states/eV/f.u.): 4.1
Calculated volume (A^3/atom): 23.7
Space group: I4/mmm
ΔE_f (raw) (eV/atom): -0.498


Entry 7:
First-principles (PBE) data for a relaxed PuSn2Rh5 crystal, as listed in Alexandria via LeMat-Bulk.

Cell lengths 7.2504, 7.2504, 7.2504 Å; angles 147.58, 133.85, 57.52 degrees
With the nearest neighbours (Å) after each atom.
Atoms (fractional coordinates):
Pu1 0.0000 0.0000 0.0000  10 Rh 2.84
Sn1 0.2874 0.7874 0.5000  7 Rh 2.66-2.79
Sn2 0.7126 0.2126 0.5000  7 Rh 2.66-2.79
Rh1 0.1399 0.3896 0.7503  3 Sn 2.66-2.79, 5 Rh 2.81-2.85, 2 Pu 2.84
Rh2 0.3608 0.6104 0.7503  3 Sn 2.66-2.79, 5 Rh 2.81-2.85, 2 Pu 2.84
Rh3 0.5000 0.0000 0.5000  2 Sn 2.70, 2 Pu 2.84, 8 Rh 2.84
Rh4 0.6392 0.3896 0.2497  3 Sn 2.66-2.79, 5 Rh 2.81-2.85, 2 Pu 2.84
Rh5 0.8601 0.6104 0.2497  3 Sn 2.66-2.79, 5 Rh 2.81-2.85, 2 Pu 2.84

Output
Total DFT energy (no corrections) (eV/atom): -7.75
DOS at the Fermi energy (states/eV/f.u.): 13.7
Formation energy (kJ per mole of atoms): -35
Calculated volume (A^3/atom): 18.3
Space group: Immm


Entry 8:
First-principles (PBE) data for a relaxed CaZn2Au2 crystal, as listed in Alexandria via LeMat-Bulk.

Cell lengths 7.7146, 7.7146, 3.2433 Å; angles 90.00, 90.00, 90.00 degrees
With the nearest neighbours (Å) after each atom.
Atoms (fractional coordinates):
Ca1 0.0000 0.0000 0.0000  4 Au 2.99, 2 Ca 3.24, 8 Zn 3.33
Ca2 0.5000 0.5000 0.0000  4 Au 2.99, 2 Ca 3.24, 8 Zn 3.33
Zn1 0.1568 0.3432 0.5000  6 Au 2.76-2.80
Zn2 0.3432 0.8432 0.5000  6 Au 2.76-2.80
Zn3 0.6568 0.1568 0.5000  6 Au 2.76-2.80
Zn4 0.8432 0.6568 0.5000  6 Au 2.76-2.80
Au1 0.1388 0.6388 0.0000  6 Zn 2.76-2.80, 2 Ca 2.99, 1 Au 3.03
Au2 0.3612 0.1388 0.0000  6 Zn 2.76-2.80, 2 Ca 2.99, 1 Au 3.03
Au3 0.6388 0.8612 0.0000  6 Zn 2.76-2.80, 2 Ca 2.99, 1 Au 3.03
Au4 0.8612 0.3612 0.0000  6 Zn 2.76-2.80, 2 Ca 2.99, 1 Au 3.03

Output
Excess energy over the best structure of this formula in the dataset (meV per atom): 181
Total DFT energy (no corrections) (eV/atom): -2.55
DOS at the Fermi energy (states/eV/f.u.): 1.6
Formation energy (kJ per mole of atoms): -31
Calculated volume (A^3/atom): 19.3
Space group: P4/mbm


Entry 9:
First-principles (PBE) data for a relaxed KHg3Pt crystal, as listed in Alexandria via LeMat-Bulk.

Cell lengths 6.8896, 7.2608, 7.6170 Å; angles 62.63, 63.16, 61.78 degrees
With the nearest neighbours (Å) after each atom.
Atoms (fractional coordinates):
K1 0.0000 0.0000 0.0000  9 Hg 3.46-3.73, 1 K 3.85
K2 0.0997 0.3714 0.4314  8 Hg 3.54-3.73, 1 K 3.85, 2 Pt 3.87-3.89
Hg1 0.1101 0.8350 0.4745  2 Pt 2.83, 1 Hg 2.86
Hg2 0.4960 0.0508 0.9570  2 Pt 2.74-2.75
Hg3 0.5160 0.5355 0.9604  2 Pt 2.73-2.74
Hg4 0.5820 0.8342 0.4749  2 Pt 2.82-2.83, 1 Hg 2.86
Hg5 0.6826 0.1866 0.4505  2 Pt 2.77-2.79, 2 Hg 2.86
Hg6 0.9877 0.5354 0.9608  2 Pt 2.73-2.74
Pt1 0.4214 0.4710 0.6851  6 Hg 2.73-2.83, 1 Pt 2.86
Pt2 0.5604 0.6374 0.2420  6 Hg 2.74-2.83, 1 Pt 2.86

Output
Excess energy over the best structure of this formula in the dataset (meV per atom): 79
Total DFT energy (no corrections) (eV/atom): -1.80
DOS at the Fermi energy (states/eV/f.u.): 1.8
Formation energy (kJ per mole of atoms): -18
Calculated volume (A^3/atom): 28.5
Space group: P1


Entry 10:
First-principles (PBE) data for a relaxed FeTe crystal, as listed in Alexandria via LeMat-Bulk.

Cell lengths 4.1099, 4.1099, 5.0668 Å; angles 90.00, 90.00, 120.00 degrees
With the nearest neighbours (Å) after each atom.
Atoms (fractional coordinates):
Fe1 0.0000 0.0000 0.0000  2 Fe 2.53, 6 Te 2.69
Fe2 0.0000 0.0000 0.5000  2 Fe 2.53, 6 Te 2.69
Te1 0.3333 0.6667 0.2500  6 Fe 2.69
Te2 0.6667 0.3333 0.7500  6 Fe 2.69

Output
Total DFT energy (no corrections) (eV/atom): -5.75
DOS at the Fermi energy (states/eV/f.u.): 2.1
Calculated volume (A^3/atom): 18.5
Space group: P6_3/mmc
ΔE_f (raw) (eV/atom): 0.056


Entry 11:
First-principles (PBE) data for a relaxed Sc2BOs crystal, as listed in Alexandria via LeMat-Bulk.

Cell lengths 8.4256, 8.4256, 8.4256 Å; angles 20.71, 20.71, 20.71 degrees
With the nearest neighbours (Å) after each atom.
Atoms (fractional coordinates):
Sc1 0.1012 0.1012 0.1012  3 B 2.38, 1 Os 2.50
Sc2 0.8988 0.8988 0.8988  3 B 2.38, 1 Os 2.50
B1 0.5000 0.5000 0.5000  6 Sc 2.38
Os1 0.0000 0.0000 0.0000  2 Sc 2.50

Output
Total DFT energy (no corrections) (eV/atom): -7.23
DOS at the Fermi energy (states/eV/f.u.): 3.0
Formation energy (kJ per mole of atoms): 40
Calculated volume (A^3/atom): 16.4
Space group: R-3m


Entry 12:
First-principles (PBE) data for a relaxed PmHg2Au crystal, as listed in Alexandria via LeMat-Bulk.

Cell lengths 5.1452, 5.1452, 5.0050 Å; angles 118.98, 118.98, 58.25 degrees
With the nearest neighbours (Å) after each atom.
Atoms (fractional coordinates):
Pm1 0.0000 0.0000 0.0000  4 Hg 3.12-3.13, 4 Au 3.12-3.13
Hg1 0.2501 0.2501 0.7497  4 Hg 3.12-3.13, 4 Pm 3.12-3.13
Hg2 0.5001 0.5001 0.5000  4 Au 3.12-3.13, 4 Hg 3.12-3.13
Au1 0.7500 0.7500 0.2506  4 Hg 3.12-3.13, 4 Pm 3.12-3.13

Output
Excess energy over the best structure of this formula in the dataset (meV per atom): 0
Total DFT energy (no corrections) (eV/atom): -2.63
DOS at the Fermi energy (states/eV/f.u.): 1.9
Formation energy (kJ per mole of atoms): -46
Calculated volume (A^3/atom): 23.4
Space group: Cm